VASP calculation (PBE) on BaAcAl after structural relaxation.

Unit cell a=4.093 b=4.093 c=14.409 alpha=90.00 beta=90.00 gamma=90.00
Element x y z (fractional)
1 Ba 0.000 0.000 0.000
2 Ba 0.500 0.500 0.500
3 Ac 0.000 0.000 0.265
4 Ac 0.500 0.500 0.765
5 Al 0.000 0.000 0.648
6 Al 0.500 0.500 0.148

## Properties
The value obtained for the magnetic moment is 0.0 μB/cell. As for the energy above the most stable polymorph in this dataset: 0.086 eV per atom. As for the energy of formation: -0.201 eV/f.u. As for the space-group type: I4mm.

---

VASP calculation (PBE) on BaAcAl2 after structural relaxation.

Unit cell a=4.487 b=17.675 c=7.756 alpha=90.00 beta=90.00 gamma=90.00
Element x y z (fractional)
1 Ba 0.000 0.107 0.250
2 Ba 0.000 0.893 0.750
3 Ba 0.500 0.393 0.750
4 Ba 0.500 0.607 0.250
5 Ac 0.000 0.376 0.250
6 Ac 0.000 0.624 0.750
7 Ac 0.500 0.124 0.750
8 Ac 0.500 0.876 0.250
9 Al 0.000 0.249 0.583
10 Al 0.000 0.249 0.917
11 Al 0.000 0.751 0.083
12 Al 0.000 0.751 0.417
13 Al 0.500 0.251 0.083
14 Al 0.500 0.251 0.417
15 Al 0.500 0.749 0.583
16 Al 0.500 0.749 0.917

## Properties
The value obtained for the magnetic moment is 0.0 μB/cell. As for the energy above the most stable polymorph in this dataset: 0.000 eV per atom. As for the energy of formation: -0.667 eV/f.u. As for the space-group type: Cmcm.

---

VASP calculation (PBE) on BaCaAcAl after structural relaxation.

Unit cell a=8.442 b=8.442 c=8.442 alpha=90.00 beta=90.00 gamma=90.00
Element x y z (fractional)
1 Ba 0.000 0.000 0.000
2 Ba 0.000 0.500 0.500
3 Ba 0.500 0.000 0.500
4 Ba 0.500 0.500 0.000
5 Ca 0.250 0.250 0.250
6 Ca 0.250 0.750 0.750
7 Ca 0.750 0.250 0.750
8 Ca 0.750 0.750 0.250
9 Ac 0.000 0.000 0.500
10 Ac 0.000 0.500 0.000
11 Ac 0.500 0.000 0.000
12 Ac 0.500 0.500 0.500
13 Al 0.250 0.250 0.750
14 Al 0.250 0.750 0.250
15 Al 0.750 0.250 0.250
16 Al 0.750 0.750 0.750

## Properties
The value obtained for the magnetic moment is 0.0 μB/cell. As for the energy of formation: 0.133 eV/f.u. As for the space-group type: F-43m.

---

VASP calculation (PBE) on BaAcAlCd after structural relaxation.

Unit cell a=8.214 b=8.214 c=8.214 alpha=90.00 beta=90.00 gamma=90.00
Element x y z (fractional)
1 Ba 0.000 0.000 0.000
2 Ba 0.000 0.500 0.500
3 Ba 0.500 0.000 0.500
4 Ba 0.500 0.500 0.000
5 Ac 0.000 0.000 0.500
6 Ac 0.000 0.500 0.000
7 Ac 0.500 0.000 0.000
8 Ac 0.500 0.500 0.500
9 Al 0.250 0.250 0.250
10 Al 0.250 0.750 0.750
11 Al 0.750 0.250 0.750
12 Al 0.750 0.750 0.250
13 Cd 0.250 0.250 0.750
14 Cd 0.250 0.750 0.250
15 Cd 0.750 0.250 0.250
16 Cd 0.750 0.750 0.750

## Properties
The value obtained for the magnetic moment is 0.0 μB/cell. As for the energy of formation: -0.731 eV/f.u. As for the space-group type: F-43m.

---

VASP calculation (PBE) on BaAcAlCu after structural relaxation.

Unit cell a=7.953 b=7.953 c=7.953 alpha=90.00 beta=90.00 gamma=90.00
Element x y z (fractional)
1 Ba 0.000 0.000 0.000
2 Ba 0.000 0.500 0.500
3 Ba 0.500 0.000 0.500
4 Ba 0.500 0.500 0.000
5 Ac 0.000 0.000 0.500
6 Ac 0.000 0.500 0.000
7 Ac 0.500 0.000 0.000
8 Ac 0.500 0.500 0.500
9 Al 0.250 0.250 0.250
10 Al 0.250 0.750 0.750
11 Al 0.750 0.250 0.750
12 Al 0.750 0.750 0.250
13 Cu 0.250 0.250 0.750
14 Cu 0.250 0.750 0.250
15 Cu 0.750 0.250 0.250
16 Cu 0.750 0.750 0.750

## Properties
The value obtained for the magnetic moment is 0.0 μB/cell. As for the energy of formation: -0.053 eV/f.u. As for the space-group type: F-43m.

---

VASP calculation (PBE) on BaAcAlGa after structural relaxation.

Unit cell a=8.057 b=8.057 c=8.057 alpha=90.00 beta=90.00 gamma=90.00
Element x y z (fractional)
1 Ba 0.000 0.000 0.000
2 Ba 0.000 0.500 0.500
3 Ba 0.500 0.000 0.500
4 Ba 0.500 0.500 0.000
5 Ac 0.000 0.000 0.500
6 Ac 0.000 0.500 0.000
7 Ac 0.500 0.000 0.000
8 Ac 0.500 0.500 0.500
9 Al 0.250 0.250 0.250
10 Al 0.250 0.750 0.750
11 Al 0.750 0.250 0.750
12 Al 0.750 0.750 0.250
13 Ga 0.250 0.250 0.750
14 Ga 0.250 0.750 0.250
15 Ga 0.750 0.250 0.250
16 Ga 0.750 0.750 0.750

## Properties
The value obtained for the magnetic moment is 0.0 μB/cell. As for the energy of formation: -0.755 eV/f.u. As for the space-group type: F-43m.

---

VASP calculation (PBE) on BaAcAl2Ga2 after structural relaxation.

Unit cell a=4.482 b=4.482 c=9.864 alpha=90.00 beta=90.00 gamma=120.00
Element x y z (fractional)
1 Ba 0.000 0.000 0.000
2 Ac 0.000 0.000 0.500
3 Al 0.333 0.667 0.265
4 Al 0.667 0.333 0.735
5 Ga 0.333 0.667 0.731
6 Ga 0.667 0.333 0.269

## Properties
The value obtained for the magnetic moment is 0.0 μB/cell. As for the energy of formation: -2.680 eV/f.u. As for the space-group type: P-3m1.

---

VASP calculation (PBE) on BaAcAlHg after structural relaxation.

Unit cell a=8.193 b=8.193 c=8.193 alpha=90.00 beta=90.00 gamma=90.00
Element x y z (fractional)
1 Ba 0.000 0.000 0.000
2 Ba 0.000 0.500 0.500
3 Ba 0.500 0.000 0.500
4 Ba 0.500 0.500 0.000
5 Ac 0.000 0.000 0.500
6 Ac 0.000 0.500 0.000
7 Ac 0.500 0.000 0.000
8 Ac 0.500 0.500 0.500
9 Al 0.250 0.250 0.250
10 Al 0.250 0.750 0.750
11 Al 0.750 0.250 0.750
12 Al 0.750 0.750 0.250
13 Hg 0.250 0.250 0.750
14 Hg 0.250 0.750 0.250
15 Hg 0.750 0.250 0.250
16 Hg 0.750 0.750 0.750

## Properties
The value obtained for the magnetic moment is 0.0 μB/cell. As for the energy of formation: -1.093 eV/f.u. As for the space-group type: F-43m.

---

VASP calculation (PBE) on BaAcAlIn after structural relaxation.

Unit cell a=8.241 b=8.241 c=8.241 alpha=90.00 beta=90.00 gamma=90.00
Element x y z (fractional)
1 Ba 0.000 0.000 0.000
2 Ba 0.000 0.500 0.500
3 Ba 0.500 0.000 0.500
4 Ba 0.500 0.500 0.000
5 Ac 0.000 0.000 0.500
6 Ac 0.000 0.500 0.000
7 Ac 0.500 0.000 0.000
8 Ac 0.500 0.500 0.500
9 Al 0.250 0.250 0.750
10 Al 0.250 0.750 0.250
11 Al 0.750 0.250 0.250
12 Al 0.750 0.750 0.750
13 In 0.250 0.250 0.250
14 In 0.250 0.750 0.750
15 In 0.750 0.250 0.750
16 In 0.750 0.750 0.250

## Properties
The value obtained for the magnetic moment is 0.0 μB/cell. As for the energy of formation: -0.834 eV/f.u. As for the space-group type: F-43m.

---

VASP calculation (PBE) on BaLiAcAl after structural relaxation.

Unit cell a=8.182 b=8.182 c=8.182 alpha=90.00 beta=90.00 gamma=90.00
Element x y z (fractional)
1 Ba 0.000 0.000 0.000
2 Ba 0.000 0.500 0.500
3 Ba 0.500 0.000 0.500
4 Ba 0.500 0.500 0.000
5 Li 0.250 0.250 0.750
6 Li 0.250 0.750 0.250
7 Li 0.750 0.250 0.250
8 Li 0.750 0.750 0.750
9 Ac 0.000 0.000 0.500
10 Ac 0.000 0.500 0.000
11 Ac 0.500 0.000 0.000
12 Ac 0.500 0.500 0.500
13 Al 0.250 0.250 0.250
14 Al 0.250 0.750 0.750
15 Al 0.750 0.250 0.750
16 Al 0.750 0.750 0.250

## Properties
The value obtained for the magnetic moment is 0.0 μB/cell. As for the energy of formation: -0.107 eV/f.u. As for the space-group type: F-43m.

---

VASP calculation (PBE) on BaAcMgAl after structural relaxation.

Unit cell a=8.236 b=8.236 c=8.236 alpha=90.00 beta=90.00 gamma=90.00
Element x y z (fractional)
1 Ba 0.000 0.000 0.000
2 Ba 0.000 0.500 0.500
3 Ba 0.500 0.000 0.500
4 Ba 0.500 0.500 0.000
5 Ac 0.000 0.000 0.500
6 Ac 0.000 0.500 0.000
7 Ac 0.500 0.000 0.000
8 Ac 0.500 0.500 0.500
9 Mg 0.250 0.250 0.750
10 Mg 0.250 0.750 0.250
11 Mg 0.750 0.250 0.250
12 Mg 0.750 0.750 0.750
13 Al 0.250 0.250 0.250
14 Al 0.250 0.750 0.750
15 Al 0.750 0.250 0.750
16 Al 0.750 0.750 0.250

## Properties
The value obtained for the magnetic moment is 0.0 μB/cell. As for the energy of formation: -0.255 eV/f.u. As for the space-group type: F-43m.

---

VASP calculation (PBE) on Ba2AcAl2O7 after structural relaxation.

Unit cell a=10.923 b=10.923 c=10.923 alpha=159.17 beta=159.17 gamma=29.62
Element x y z (fractional)
1 Ba 0.182 0.182 0.000
2 Ba 0.818 0.818 0.000
3 Ac 0.000 0.000 0.000
4 Al 0.407 0.407 0.000
5 Al 0.593 0.593 0.000
6 O 0.088 0.588 0.500
7 O 0.317 0.317 0.000
8 O 0.412 0.912 0.500
9 O 0.500 0.500 0.000
10 O 0.588 0.088 0.500
11 O 0.683 0.683 0.000
12 O 0.912 0.412 0.500

## Properties
The value obtained for the magnetic moment is 1.0 μB/cell. The energy relative to the elements, uncorrected comes out at -2.841 eV/atom. As for the space-group type: I4/mmm.

---

Which value of magnetic moment does entry 12 give? 1.0 μB/cell

---

Which value of magnetic moment does entry 11 give? 0.0 μB/cell